No. 1
The following is a DFT calculation (GGA-PBE) of a geometry-optimized AcLa3Pm2 structure.

## Properties
Relative energy among the computed polymorphs   257.0 meV per atom
Space group   Immm, No. 71
Calculated total energy   -4.436 eV/atom
Crystal system   orthorhombic

```
AcLa3Pm2
1.0
-1.787 3.150 10.033
1.787 -3.150 10.033
1.787 3.150 -10.033
Ac La Pm
1 3 2
direct
0.000 0.000 0.000 Ac
0.191 0.191 0.000 La
0.500 0.000 0.500 La
0.809 0.809 0.000 La
0.363 0.363 0.000 Pm
0.637 0.637 0.000 Pm
```



No. 2
The following is a DFT calculation (GGA-PBE) of a geometry-optimized SmTmLuSc structure.

## Properties
Space group   F-43m, No. 216
Calculated total energy   -4.906 eV/atom
Crystal system   cubic

```
SmTmLuSc
1.0
0.000 3.891 3.891
3.891 0.000 3.891
3.891 3.891 0.000
Sm Tm Lu Sc
1 1 1 1
direct
0.000 0.000 0.000 Sm
0.500 0.500 0.500 Tm
0.250 0.250 0.250 Lu
0.750 0.750 0.750 Sc
```



No. 3
The following is a DFT calculation (GGA-PBE) of a geometry-optimized La2Ge4Os3 structure.

## Properties
Space group   Fmmm, No. 69
Calculated total energy   -7.214 eV/atom
Crystal system   orthorhombic

```
La2Ge4Os3
1.0
0.000 4.996 6.421
2.827 0.000 6.421
2.827 4.996 0.000
La Ge Os
2 4 3
direct
0.131 0.131 0.869 La
0.869 0.869 0.131 La
0.178 0.519 0.481 Ge
0.481 0.822 0.178 Ge
0.519 0.178 0.822 Ge
0.822 0.481 0.519 Ge
0.000 0.000 0.500 Os
0.500 0.500 0.000 Os
0.500 0.500 0.500 Os
```